A plane-wave DFT calculation with PBE was carried out for AcSmCuIr after structural relaxation.

Properties
offset from the most stable computed form: 78 meV/atom
energy of formation: -0.353 eV per atom

The structure in CIF format:
```
data_AcSmCuIr
_cell_length_a 7.2749
_cell_length_b 7.2749
_cell_length_c 7.2749
_cell_angle_alpha 90.00
_cell_angle_beta 90.00
_cell_angle_gamma 90.00
_symmetry_space_group_name_H-M 'F -4 3 m'
_symmetry_Int_Tables_number 216
_symmetry_space_group_name_Hall 'F -4 2 3'
loop_
_atom_site_label
_atom_site_type_symbol
_atom_site_fract_x
_atom_site_fract_y
_atom_site_fract_z
Ac1 Ac 0.0000 0.0000 0.0000
Sm1 Sm 0.0000 0.0000 0.5000
Cu1 Cu 0.2500 0.2500 0.7500
Ir1 Ir 0.2500 0.2500 0.2500
```

***

A plane-wave DFT calculation with PBE was carried out for Sr2Sn6Pt after structural relaxation.

Properties
offset from the most stable computed form: 19 meV/atom
energy of formation: -0.474 eV per atom

The structure in CIF format:
```
data_Sr2Sn6Pt
_cell_length_a 4.5973
_cell_length_b 4.5477
_cell_length_c 25.1784
_cell_angle_alpha 90.00
_cell_angle_beta 90.00
_cell_angle_gamma 90.00
_symmetry_space_group_name_H-M 'A m m 2'
_symmetry_Int_Tables_number 38
loop_
_symmetry_equiv_pos_as_xyz
'x,y,z'
'-x,-y,z'
'-x,y,z'
'x,-y,z'
'x,y+1/2,z+1/2'
'-x,-y+1/2,z+1/2'
'-x,y+1/2,z+1/2'
'x,-y+1/2,z+1/2'
loop_
_atom_site_label
_atom_site_type_symbol
_atom_site_fract_x
_atom_site_fract_y
_atom_site_fract_z
Sr1 Sr 0.0000 0.0000 0.0000
Sr2 Sr 0.0000 0.0000 0.3339
Sn1 Sn 0.0000 0.0000 0.6070
Sn2 Sn 0.0000 0.0000 0.7224
Sn3 Sn 0.5000 0.0000 0.1059
Sn4 Sn 0.5000 0.0000 0.2216
Sn5 Sn 0.5000 0.0000 0.4560
Sn6 Sn 0.5000 0.0000 0.8861
Pt1 Pt 0.5000 0.0000 0.7810
```

***

A plane-wave DFT calculation with PBE was carried out for Rb9Au3O2F after structural relaxation.

Properties
raw formation energy: -0.86 eV/atom

The structure in CIF format:
```
data_Rb9Au3O2F
_cell_length_a 7.9266
_cell_length_b 7.9266
_cell_length_c 9.7218
_cell_angle_alpha 90.00
_cell_angle_beta 90.00
_cell_angle_gamma 120.00
_symmetry_space_group_name_H-M 'P -3 m 1'
_symmetry_Int_Tables_number 164
_symmetry_space_group_name_Hall '-P 3 2"'
loop_
_atom_site_label
_atom_site_type_symbol
_atom_site_fract_x
_atom_site_fract_y
_atom_site_fract_z
Rb1 Rb 0.0000 0.5000 0.0000
Rb2 Rb 0.1703 0.3407 0.3274
Au1 Au 0.0000 0.0000 0.0000
Au2 Au 0.3333 0.6667 0.6593
O1 O 0.3333 0.6667 0.1729
F1 F 0.0000 0.0000 0.5000
```

***

A plane-wave DFT calculation with PBE was carried out for CsSc2TlNi after structural relaxation.

Properties
energy of formation: 1.402 eV per atom

The structure in CIF format:
```
data_CsSc2TlNi
_cell_length_a 5.3423
_cell_length_b 5.3423
_cell_length_c 4.7509
_cell_angle_alpha 90.00
_cell_angle_beta 90.00
_cell_angle_gamma 90.00
_symmetry_space_group_name_H-M 'P 4/m m m'
_symmetry_Int_Tables_number 123
_symmetry_space_group_name_Hall '-P 4 2'
loop_
_atom_site_label
_atom_site_type_symbol
_atom_site_fract_x
_atom_site_fract_y
_atom_site_fract_z
Cs1 Cs 0.0000 0.0000 0.0000
Sc1 Sc 0.0000 0.5000 0.0000
Tl1 Tl 0.5000 0.5000 0.5000
Ni1 Ni 0.0000 0.0000 0.5000
```

***

A plane-wave DFT calculation with PBE was carried out for KLaTe after structural relaxation.

Properties
offset from the most stable computed form: 320 meV/atom
raw formation energy: -0.58 eV/atom

The structure in CIF format:
```
data_KLaTe
_cell_length_a 5.4271
_cell_length_b 5.4271
_cell_length_c 5.2797
_cell_angle_alpha 90.00
_cell_angle_beta 90.00
_cell_angle_gamma 120.00
_symmetry_space_group_name_H-M 'P 3 m 1'
_symmetry_Int_Tables_number 156
loop_
_symmetry_equiv_pos_as_xyz
'x,y,z'
'-y,x-y,z'
'-x+y,-x,z'
'-y,-x,z'
'-x+y,y,z'
'x,x-y,z'
loop_
_atom_site_label
_atom_site_type_symbol
_atom_site_fract_x
_atom_site_fract_y
_atom_site_fract_z
K1 K 0.0000 0.0000 0.0000
La1 La 0.6667 0.3333 0.5003
Te1 Te 0.3333 0.6667 0.5014
```

***

A plane-wave DFT calculation with PBE was carried out for ZrTe6O12 after structural relaxation.

Properties
raw formation energy: -1.07 eV/atom

The structure in CIF format:
```
data_ZrTe6O12
_cell_length_a 10.2710
_cell_length_b 10.2710
_cell_length_c 12.8959
_cell_angle_alpha 90.00
_cell_angle_beta 90.00
_cell_angle_gamma 120.00
_symmetry_space_group_name_H-M 'R -3'
_symmetry_Int_Tables_number 148
_symmetry_space_group_name_Hall '-R 3'
loop_
_atom_site_label
_atom_site_type_symbol
_atom_site_fract_x
_atom_site_fract_y
_atom_site_fract_z
Zr1 Zr 0.0000 0.0000 0.0000
Te1 Te 0.0531 0.2753 0.5994
O1 O 0.0205 0.7920 0.5627
O2 O 0.0258 0.8432 0.0913
```

***

A plane-wave DFT calculation with PBE was carried out for Rb3CeSc2Se6 after structural relaxation.

Properties
raw formation energy: -1.60 eV/atom

The structure in CIF format:
```
data_Rb3CeSc2Se6
_cell_length_a 7.2213
_cell_length_b 12.5093
_cell_length_c 8.3100
_cell_angle_alpha 90.00
_cell_angle_beta 106.89
_cell_angle_gamma 90.00
_symmetry_space_group_name_H-M 'C 1 2/m 1'
_symmetry_Int_Tables_number 12
loop_
_symmetry_equiv_pos_as_xyz
'x,y,z'
'-x,-y,-z'
'-x,y,-z'
'x,-y,z'
'x+1/2,y+1/2,z'
'-x+1/2,-y+1/2,-z'
'-x+1/2,y+1/2,-z'
'x+1/2,-y+1/2,z'
loop_
_atom_site_label
_atom_site_type_symbol
_atom_site_fract_x
_atom_site_fract_y
_atom_site_fract_z
Rb1 Rb 0.0000 0.0000 0.0000
Rb2 Rb 0.0000 0.3367 0.0000
Ce1 Ce 0.0000 0.5000 0.5000
Sc1 Sc 0.0000 0.1670 0.5000
Se1 Se 0.2107 0.0000 0.6893
Se2 Se 0.2398 0.3238 0.6904
```

***

A plane-wave DFT calculation with PBE was carried out for SmAs2PbO8 after structural relaxation.

Properties
raw formation energy: -1.59 eV/atom

The structure in CIF format:
```
data_SmAs2PbO8
_cell_length_a 5.7379
_cell_length_b 5.7379
_cell_length_c 7.4387
_cell_angle_alpha 90.00
_cell_angle_beta 90.00
_cell_angle_gamma 120.00
_symmetry_space_group_name_H-M 'P -3 m 1'
_symmetry_Int_Tables_number 164
_symmetry_space_group_name_Hall '-P 3 2"'
loop_
_atom_site_label
_atom_site_type_symbol
_atom_site_fract_x
_atom_site_fract_y
_atom_site_fract_z
Sm1 Sm 0.0000 0.0000 0.0000
As1 As 0.3333 0.6667 0.2854
Pb1 Pb 0.0000 0.0000 0.5000
O1 O 0.1698 0.3395 0.2118
O2 O 0.3333 0.6667 0.5166
```

***

A plane-wave DFT calculation with PBE was carried out for Er3Tl2Ga after structural relaxation.

Properties
offset from the most stable computed form: 0 meV/atom
energy of formation: -0.396 eV per atom

The structure in CIF format:
```
data_Er3Tl2Ga
_cell_length_a 3.6069
_cell_length_b 3.6069
_cell_length_c 11.6550
_cell_angle_alpha 90.00
_cell_angle_beta 90.00
_cell_angle_gamma 90.00
_symmetry_space_group_name_H-M 'P 4/m m m'
_symmetry_Int_Tables_number 123
_symmetry_space_group_name_Hall '-P 4 2'
loop_
_atom_site_label
_atom_site_type_symbol
_atom_site_fract_x
_atom_site_fract_y
_atom_site_fract_z
Er1 Er 0.0000 0.0000 0.0000
Er2 Er 0.0000 0.0000 0.3494
Tl1 Tl 0.5000 0.5000 0.1727
Ga1 Ga 0.5000 0.5000 0.5000
```

***

A plane-wave DFT calculation with PBE was carried out for Ag2Au after structural relaxation.

Properties
offset from the most stable computed form: 8 meV/atom
energy of formation: -0.029 eV per atom

The structure in CIF format:
```
data_Ag2Au
_cell_length_a 8.7768
_cell_length_b 5.0625
_cell_length_c 4.8560
_cell_angle_alpha 90.00
_cell_angle_beta 90.00
_cell_angle_gamma 90.00
_symmetry_space_group_name_H-M 'C m c m'
_symmetry_Int_Tables_number 63
_symmetry_space_group_name_Hall '-C 2c 2'
loop_
_atom_site_label
_atom_site_type_symbol
_atom_site_fract_x
_atom_site_fract_y
_atom_site_fract_z
Ag1 Ag 0.1661 0.1666 0.2500
Au1 Au 0.0000 0.3337 0.7500
```

***

A plane-wave DFT calculation with PBE was carried out for Er3Fe5H12 after structural relaxation.

The structure in CIF format:
```
data_Er3Fe5H12
_cell_length_a 11.0766
_cell_length_b 11.0766
_cell_length_c 11.0766
_cell_angle_alpha 90.00
_cell_angle_beta 90.00
_cell_angle_gamma 90.00
_symmetry_space_group_name_H-M 'I a -3 d'
_symmetry_Int_Tables_number 230
_symmetry_space_group_name_Hall '-I 4bd 2c 3'
loop_
_atom_site_label
_atom_site_type_symbol
_atom_site_fract_x
_atom_site_fract_y
_atom_site_fract_z
Er1 Er 0.0000 0.2500 0.1250
Fe1 Fe 0.0000 0.0000 0.0000
Fe2 Fe 0.0000 0.2500 0.3750
H1 H 0.0307 0.0531 0.6387
```

***

A plane-wave DFT calculation with PBE was carried out for TbNd2HoIn2 after structural relaxation.

Properties
energy of formation: -0.351 eV per atom

The structure in CIF format:
```
data_TbNd2HoIn2
_cell_length_a 5.2687
_cell_length_b 9.9970
_cell_length_c 6.8161
_cell_angle_alpha 90.00
_cell_angle_beta 90.00
_cell_angle_gamma 90.00
_symmetry_space_group_name_H-M 'P m c 21'
_symmetry_Int_Tables_number 26
loop_
_symmetry_equiv_pos_as_xyz
'x,y,z'
'-x,-y,z+1/2'
'-x,y,z'
'x,-y,z+1/2'
loop_
_atom_site_label
_atom_site_type_symbol
_atom_site_fract_x
_atom_site_fract_y
_atom_site_fract_z
Tb1 Tb 0.0000 0.0376 0.0000
Nd1 Nd 0.0000 0.3197 0.3434
Nd2 Nd 0.5000 0.4619 0.0656
Ho1 Ho 0.5000 0.1769 0.7230
In1 In 0.0000 0.3470 0.8197
In2 In 0.5000 0.1362 0.2471
```

***

Number 1: VASP energy -5.80 eV per atom. Number 2: VASP energy -4.19 eV per atom. Number 3: VASP energy -2.88 eV per atom. Number 4: VASP energy -2.93 eV per atom. Number 5: VASP energy -3.63 eV per atom. Number 6: VASP energy -5.65 eV per atom. Number 7: VASP energy -5.14 eV per atom. Number 8: VASP energy -6.37 eV per atom. Number 9: VASP energy -3.97 eV per atom. Number 10: VASP energy -3.02 eV per atom. Number 11: VASP energy -5.00 eV per atom. Number 12: VASP energy -4.39 eV per atom.